Density functional theory data (GGA-PBEsol) for a relaxed AsPPtS2 crystal.

Cell: 4.486 4.697 4.697 Å, 90.00 90.00 90.00°
Element x y z (fractional)
P 0.500 0.000 0.000
S 0.000 0.000 0.500
S 0.000 0.500 0.000
Pt 0.000 0.000 0.000
As 0.500 0.500 0.500

Properties
Uncorrected formation energy ... 3.457 eV per formula unit
Energy ... -4.635 eV per atom
Distance to the lowest polymorph of the same formula ... 0 meV per atom